*P*
ZrCu3O | PBE-GGA | relaxed

Unit cell a=4.9196 b=4.9196 c=4.9196 alpha=90.00 beta=90.00 gamma=90.00
Last column: nearest neighbours and their distance in Å.
Sites, in units of the cell vectors:
Zr  0.0000  0.0000  0.0000  6 Cu 2.46
Cu  0.0000  0.0000  0.5000  2 Zr 2.46
Cu  0.0000  0.5000  0.0000  2 Zr 2.46
Cu  0.5000  0.0000  0.0000  2 Zr 2.46
O  0.5000  0.5000  0.5000  12 Cu 3.48

The volume is 119 Å³/f.u. The magnetization comes out at 0.00 Bohr magnetons per cell. Its density of states at the Fermi level is 11.067 states/eV/f.u. The value obtained for the mass density is 4.2 g/cm³.

***

*Q*
ZrCu3O | PBE-GGA | relaxed

Unit cell a=4.1185 b=4.1185 c=4.1185 alpha=90.00 beta=90.00 gamma=90.00
Last column: nearest neighbours and their distance in Å.
Sites, in units of the cell vectors:
Zr  0.0000  0.0000  0.0000  12 Cu 2.91
Cu  0.0000  0.5000  0.5000  2 O 2.06
Cu  0.5000  0.0000  0.5000  2 O 2.06
Cu  0.5000  0.5000  0.0000  2 O 2.06
O  0.5000  0.5000  0.5000  6 Cu 2.06

The volume is 70 Å³/f.u. The magnetization comes out at 0.00 Bohr magnetons per cell. Its density of states at the Fermi level is 4.832 states/eV/f.u. The value obtained for the mass density is 7.1 g/cm³.

***

Which one is the most stable? From the structures above, *Q*.